{
  "formula": "CeBe2AlAu4",
  "functional": "GGA-PBE",
  "state": "relaxed",
  "lattice_angstrom": [[2.1183, 1.2230, 9.1025], [-2.1183, 1.2230, 9.1025], [0.0000, -2.4460, 9.1025]],
  "species": ["Ce", "Be", "Be", "Al", "Au", "Au", "Au", "Au"],
  "fractional_positions": [[0.0000, 0.0000, 0.0000], [0.2386, 0.2386, 0.2386], [0.7614, 0.7614, 0.7614], [0.5000, 0.5000, 0.5000], [0.1277, 0.1277, 0.1277], [0.4006, 0.4006, 0.4006], [0.5994, 0.5994, 0.5994], [0.8723, 0.8723, 0.8723]],
  "dft_energy_ev_per_cell": -32.67,
  "delta_e_f_ev_per_atom": -0.30,
  "space_group": "R-3m",
  "m_tot_mub_per_fu": 0.68,
  "dos_ef_per_ev_atom": 1.05
}